Entry 1:
Entry from Alexandria: an optimized crystal structure of Pu3Si7Ni2 (PBE).

Output
The value obtained for the total energy is -98.9 eV/cell.

abc: 4.011 4.051 12.412
angles: 90.00 99.29 90.00
Fractional positions:
Pu1 0.000 0.000 0.000
Pu2 0.315 0.500 0.630
Pu3 0.685 0.500 0.370
Si1 0.088 0.500 0.173
Si2 0.222 0.000 0.445
Si3 0.414 0.000 0.828
Si4 0.500 0.500 0.000
Si5 0.586 0.000 0.172
Si6 0.778 0.000 0.555
Si7 0.912 0.500 0.827
Ni1 0.128 0.000 0.257
Ni2 0.872 0.000 0.743

***

Entry 2:
Entry from Alexandria: an optimized crystal structure of Dy3PdO6 (PBE).

Output
Its distance to the lowest polymorph of the same formula is 0.00 eV/f.u.

abc: 6.628 6.628 6.628
angles: 92.59 92.59 92.59
Fractional positions:
Dy1 0.063 0.751 0.572
Dy2 0.249 0.428 0.937
Dy3 0.428 0.937 0.249
Dy4 0.572 0.063 0.751
Dy5 0.751 0.572 0.063
Dy6 0.937 0.249 0.428
Pd1 0.000 0.000 0.000
Pd2 0.500 0.500 0.500
O1 0.034 0.702 0.911
O2 0.089 0.966 0.298
O3 0.175 0.433 0.605
O4 0.298 0.089 0.966
O5 0.395 0.825 0.567
O6 0.433 0.605 0.175
O7 0.567 0.395 0.825
O8 0.605 0.175 0.433
O9 0.702 0.911 0.034
O10 0.825 0.567 0.395
O11 0.911 0.034 0.702
O12 0.966 0.298 0.089

***

Entry 3:
Entry from Alexandria: an optimized crystal structure of CaGe2Te (PBE).

Output
The value obtained for the total energy is -30.0 eV/cell.

abc: 6.662 6.662 6.662
angles: 101.52 101.52 126.91
Fractional positions:
Ca1 0.000 0.000 0.000
Ca2 0.750 0.250 0.500
Ge1 0.144 0.625 0.019
Ge2 0.375 0.394 0.519
Ge3 0.606 0.125 0.981
Ge4 0.875 0.856 0.481
Te1 0.250 0.750 0.500
Te2 0.500 0.500 0.000

***

Number 1: density 8.7 g/cm³. Number 2: density 7.9 g/cm³. Number 3: density 4.9 g/cm³.